Ac3Tb3PmTe8: relaxed, PBE-GGA.

Cell lengths 8.9772, 8.9772, 22.6227 Å; angles 90.00, 90.00, 120.00 degrees
Space group R-3m (No. 166, hexagonal axes)
One atom of each set of equivalent atoms:
Ac1 0.0000 0.5000 0.0000 x9
Tb1 0.0000 0.5000 0.5000 x9
Pm1 0.0000 0.0000 0.5000 x3
Te1 0.0000 0.0000 0.2419 x6
Te2 0.0136 0.5068 0.7547 x18

**VASP energy**: -5.19 eV per atom